Compound: Sc2SiNi
Source: the Alexandria database
Functional: GGA-PBE
Structure: relaxed

## Properties
- crystal system = tetragonal
- formation energy (no corrections) (eV/atom) = -0.562
- magnetization (μB/cell) = 0.00
- space-group type = P4/mmm

POSCAR file:
```
Sc2SiNi
1.0
4.3848 0.0000 0.0000
0.0000 4.3848 0.0000
0.0000 0.0000 3.5034
Sc Si Ni
2 1 1
Cartesian
0.0000 2.1924 0.0000
2.1924 0.0000 0.0000
0.0000 0.0000 1.7517
2.1924 2.1924 1.7517
```